# YTa4Br

A relaxed YTa4Br crystal (PBE-GGA, the Alexandria database).

* density of states at the Fermi level: 4.7 states/eV/cell
* E_form (uncorrected): 598 meV per atom

Cell lengths 5.717, 5.717, 5.717 Å; angles 60.00, 60.00, 60.00 degrees
Sites, in units of the cell vectors:
Y1 0.000 0.000 0.000
Ta1 0.371 0.371 0.371
Ta2 0.371 0.371 0.887
Ta3 0.371 0.887 0.371
Ta4 0.887 0.371 0.371
Br1 0.750 0.750 0.750